[1]
An optimized crystal structure of Mn4GaTc. Source: Alexandria, functional PBE-GGA.

Unit cell a=6.613 b=6.613 c=6.613 alpha=90.00 beta=90.00 gamma=90.00
Space group F-43m (No. 216)
Unique sites:
Mn1 0.123 0.123 0.123
Ga1 0.250 0.250 0.750
Tc1 0.000 0.000 0.500

Values from the calculation:
- ΔE_f: 45 meV/atom
- DFT total energy: -8.30 eV per atom

=====

[2]
An optimized crystal structure of Mn2GaTc. Source: Alexandria, functional PBE-GGA.

Unit cell a=2.7765 b=2.7765 c=24.8725 alpha=90.00 beta=90.00 gamma=120.00
Space group R3m (No. 160, hexagonal axes)
Unique sites:
Mn1 0.0000 0.0000 0.0000
Mn2 0.0000 0.0000 0.1634
Ga1 0.0000 0.0000 0.5815
Tc1 0.0000 0.0000 0.4150

Values from the calculation:
- ΔE_f: 110 meV/atom
- DFT total energy: -7.82 eV per atom

=====

[3]
An optimized crystal structure of Mn2GaTc. Source: Alexandria, functional PBE-GGA.

Unit cell a=2.935 b=2.935 c=5.838 alpha=90.00 beta=90.00 gamma=90.00
Space group P4/mmm (No. 123)
Unique sites:
Mn1 0.000 0.000 0.248
Ga1 0.500 0.500 0.500
Tc1 0.500 0.500 0.000

Values from the calculation:
- ΔE_f: 24 meV/atom
- DFT total energy: -7.91 eV per atom

=====

[4]
An optimized crystal structure of MnGa3Tc. Source: Alexandria, functional PBE-GGA.

Unit cell a=4.848 b=4.848 c=4.848 alpha=90.00 beta=90.00 gamma=90.00
Space group Pm-3m (No. 221)
Unique sites:
Mn1 0.000 0.000 0.000
Ga1 0.000 0.500 0.500
Tc1 0.500 0.500 0.500

Values from the calculation:
- ΔE_f: 484 meV/atom
- DFT total energy: -5.24 eV per atom

=====

[5]
An optimized crystal structure of Mn2GaTc. Source: Alexandria, functional PBE-GGA.

Unit cell a=6.799 b=6.799 c=5.171 alpha=90.00 beta=90.00 gamma=90.00
Space group I-42d (No. 122)
Unique sites:
Mn1 0.235 0.250 0.125
Ga1 0.000 0.000 0.500
Tc1 0.000 0.000 0.000

Values from the calculation:
- ΔE_f: 501 meV/atom
- DFT total energy: -7.43 eV per atom

=====

[6]
An optimized crystal structure of TiMnGaTc. Source: Alexandria, functional PBE-GGA.

Unit cell a=3.275 b=4.126 c=4.215 alpha=90.00 beta=90.00 gamma=90.00
Space group Pmmm (No. 47)
Unique sites:
Ti1 0.000 0.000 0.000
Mn1 0.500 0.000 0.500
Ga1 0.000 0.500 0.500
Tc1 0.500 0.500 0.000

Values from the calculation:
- ΔE_f: -323 meV/atom
- DFT total energy: -7.94 eV per atom
- Energy above the lowest structure with this stoichiometry: 0.00 eV per formula unit

=====

[7]
An optimized crystal structure of TiMnGaTc. Source: Alexandria, functional PBE-GGA.

Unit cell a=6.121 b=6.121 c=6.121 alpha=90.00 beta=90.00 gamma=90.00
Space group F-43m (No. 216)
Unique sites:
Ti1 0.000 0.000 0.000
Mn1 0.250 0.250 0.750
Ga1 0.000 0.000 0.500
Tc1 0.250 0.250 0.250

Values from the calculation:
- ΔE_f: -301 meV/atom
- DFT total energy: -7.92 eV per atom
- Energy above the lowest structure with this stoichiometry: 0.08 eV per formula unit

=====

[8]
An optimized crystal structure of MnGa2TcW. Source: Alexandria, functional PBE-GGA.

Unit cell a=4.645 b=4.645 c=4.412 alpha=90.00 beta=90.00 gamma=90.00
Space group P4/mmm (No. 123)
Unique sites:
Mn1 0.000 0.000 0.000
Ga1 0.000 0.500 0.500
Tc1 0.000 0.000 0.500
W1 0.500 0.500 0.000

Values from the calculation:
- ΔE_f: 1562 meV/atom
- DFT total energy: -6.15 eV per atom

=====

[9]
An optimized crystal structure of MnGaTcW. Source: Alexandria, functional PBE-GGA.

Unit cell a=6.077 b=6.077 c=6.077 alpha=90.00 beta=90.00 gamma=90.00
Space group F-43m (No. 216)
Unique sites:
Mn1 0.000 0.000 0.000
Ga1 0.250 0.250 0.750
Tc1 0.000 0.000 0.500
W1 0.250 0.250 0.250

Values from the calculation:
- ΔE_f: -68 meV/atom
- DFT total energy: -8.95 eV per atom

=====

[10]
An optimized crystal structure of Mn2GaTe2. Source: Alexandria, functional PBE-GGA.

Unit cell a=5.521 b=5.521 c=4.670 alpha=90.00 beta=90.00 gamma=90.00
Space group P4/mmm (No. 123)
Unique sites:
Mn1 0.000 0.000 0.000
Mn2 0.500 0.500 0.000
Ga1 0.000 0.000 0.500
Te1 0.000 0.500 0.500

Values from the calculation:
- DFT total energy: -4.76 eV per atom

=====

[11]
An optimized crystal structure of MnGaTe4. Source: Alexandria, functional PBE-GGA.

Unit cell a=5.940 b=3.810 c=7.141 alpha=90.00 beta=93.94 gamma=90.00
Space group P2/m (No. 10)
Unique sites:
Mn1 0.000 0.000 0.000
Ga1 0.000 0.500 0.500
Te1 0.252 0.500 0.854
Te2 0.262 0.000 0.315

Values from the calculation:
- DFT total energy: -4.28 eV per atom

=====

[12]
An optimized crystal structure of MnGa2Te4. Source: Alexandria, functional PBE-GGA.

Unit cell a=27.677 b=4.251 c=7.056 alpha=90.00 beta=90.00 gamma=90.00
Space group Pnma (No. 62)
Unique sites:
Mn1 0.191 0.250 0.156
Ga1 0.047 0.750 0.928
Ga2 0.150 0.750 0.550
Te1 0.006 0.250 0.748
Te2 0.106 0.250 0.396
Te3 0.143 0.750 0.931
Te4 0.234 0.750 0.370

Values from the calculation:
- DFT total energy: -4.22 eV per atom

=====

Results for mass density: 8.9; 8.3; 9.2; 5.3; 7.7; 7.9; 7.8; 8.3; 12.0; 5.1; 6.5; 5.6 (in g/cm³, following the order of the records).